## ZrCuF2 (PBEsol)

Data for crystalline ZrCuF2 at its relaxed geometry.

Values from the calculation:
space group	R-3m, No. 166
size of the total moment	0.00	μB per formula unit
formation energy (no corrections)	-1.27	eV/atom

a = 8.327 Å, b = 8.327 Å, c = 8.327 Å
α = 21.07°, β = 21.07°, γ = 21.07°
Sites, in units of the cell vectors:
Zr: 0.000 0.000 0.000
Cu: 0.500 0.500 0.500
F: 0.080 0.080 0.080
F: 0.920 0.920 0.920